InSi2Rh | PBE | optimized geometry

a b c (Å): 8.026 8.026 8.026
angles (deg): 23.00 23.00 23.00
Positions (direct):
In  0.000  0.000  0.000
Si  0.237  0.237  0.237
Si  0.763  0.763  0.763
Rh  0.500  0.500  0.500

Results
magnetization: 0.00 Bohr magnetons per cell
SG: R-3m, No. 166
formation energy without anion corrections: -0.03 eV per atom
V: 17.320 Å³ per atom
VASP energy: -5.26 eV/atom
DOS at the Fermi energy: 1.65 states/eV per cell

InSi2Rh | PBE | optimized geometry

a b c (Å): 3.838 4.176 4.709
angles (deg): 90.00 99.81 90.00
Positions (direct):
In  0.000  0.000  0.000
Si  0.473  0.500  0.753
Si  0.527  0.500  0.247
Rh  0.500  0.000  0.500

Results
magnetization: 0.00 Bohr magnetons per cell
SG: P2/m, No. 10
formation energy without anion corrections: -0.08 eV per atom
V: 18.591 Å³ per atom
VASP energy: -5.31 eV/atom
DOS at the Fermi energy: 1.06 states/eV per cell